A geometry-optimized ScCdMo2Au structure. Source: the Alexandria database, functional PBE.

Cell lengths 5.0393, 5.0393, 4.9514 Å; angles 90.00, 90.00, 90.00 degrees
Closest atoms and distances in Å follow each position.
Positions (direct):
Sc: 0.0000 0.0000 0.0000  8 Mo 3.53, 4 Au 3.56
Cd: 0.5000 0.5000 0.5000  2 Au 2.48, 4 Mo 2.52
Mo: 0.0000 0.5000 0.5000  2 Cd 2.52
Mo: 0.5000 0.0000 0.5000  2 Cd 2.52
Au: 0.5000 0.5000 0.0000  2 Cd 2.48

Summary:
* DOS(E_F): 6.2 states/eV/cell
* V: 25.148 A^3/atom
* calculated total energy: -4.704 eV per atom